[1]
## Ce3CdHg (GGA-PBE)

Data for a relaxed structure of Ce3CdHg.

## Properties
Magnetization, μB/cell: 0.00
Energy of formation from the pure elements, kcal/mol of atoms: -1.73
VASP energy, eV per atom: -3.8788

Geometry as POSCAR:
```
Ce3CdHg
1.0
5.5158 -0.0707 0.0000
-2.6665 6.9321 0.0000
0.0000 0.0000 6.9880
Ce Cd Hg
6 2 2
Cartesian
2.7950 2.7760 3.5900
0.0238 1.9344 1.7470
0.0543 4.0854 0.0960
2.8255 4.9269 5.2410
2.7950 2.7760 6.8920
0.0543 4.0854 3.3980
0.0188 1.4013 5.2410
2.8305 5.4600 1.7470
0.0922 6.7951 5.2410
2.7571 0.0663 1.7470
```

=====

[2]
## ZrFeBr2 (GGA-PBE)

Data for a relaxed structure of ZrFeBr2.

## Properties
Magnetization, μB/cell: 0.85
ΔE_f (raw), eV per atom: -0.39
VASP energy, eV per atom: -5.4825

Geometry as POSCAR:
```
ZrFeBr2
1.0
-3.8170 -0.8674 6.7932
-0.5423 -0.7962 7.7808
-0.2310 4.0083 0.4765
Br Fe Zr
2 1 1
Cartesian
-0.7247 3.7206 2.1342
-1.8014 1.4600 5.8676
-1.1476 0.5862 3.7626
-3.4427 1.7585 11.2879
```

=====

[3]
## Pm2SmLu (GGA-PBE)

Data for a relaxed structure of Pm2SmLu.

## Properties
Magnetization, μB/cell: 0.00
Energy of formation from the pure elements, kcal/mol of atoms: 0.53
VASP energy, eV per atom: -4.6623

Geometry as POSCAR:
```
Pm2SmLu
1.0
3.5980 0.0000 0.0000
0.0000 3.5980 0.0000
0.0000 0.0000 10.1606
Lu Sm Pm
1 1 2
Cartesian
1.7990 1.7990 0.0000
1.7990 1.7990 5.0803
0.0000 0.0000 7.6773
0.0000 0.0000 2.4833
```

=====

[4]
## Ni5GeAs2 (GGA-PBE)

Data for a relaxed structure of Ni5GeAs2.

## Properties
Magnetization, μB/cell: 0.00
Energy of formation from the pure elements, kcal/mol of atoms: -5.93
VASP energy, eV per atom: -5.6101

Geometry as POSCAR:
```
Ni5GeAs2
1.0
-3.2148 1.6371 0.4159
-0.2752 0.7262 -4.9855
-0.8843 -6.1961 1.6995
Ni Ge As
5 1 2
Cartesian
-0.1376 0.3631 -2.4927
-2.2828 -0.1556 -1.1785
-2.0914 -3.6773 -1.6916
-2.4198 0.2061 -3.6610
-1.9544 -4.0389 0.7909
0.0000 0.0000 0.0000
-1.2429 -1.7448 -2.7388
-3.1314 -2.0880 -0.1313
```

=====

[5]
## BaVH (GGA-PBE)

Data for a relaxed structure of BaVH.

## Properties
Magnetization, μB/cell: 8.89
VASP energy, eV per atom: -3.7712

Geometry as POSCAR:
```
BaVH
1.0
3.4708 -2.0038 0.0000
0.0000 4.0077 0.0000
0.0000 0.0000 13.2657
H Ba V
2 2 2
Cartesian
1.1569 2.0038 3.3164
2.3138 0.0000 9.9492
0.0000 0.0000 3.3164
0.0000 0.0000 9.9492
0.0000 0.0000 0.0000
0.0000 0.0000 6.6328
```

=====

Q: Which formula does entry 2 have?
A: ZrFeBr2